A plane-wave DFT calculation with GGA-PBEsol was carried out for a geometry-optimized Y2Ni2Ir structure.

Results
Density of states at the Fermi level ... 0.69 states/eV/atom
Formation energy from the elements ... -0.463 eV per atom
Calculated volume ... 17.23 Å³ per atom

abc: 3.8642 6.6782 6.6782
angles: 90.00 90.00 90.00
With the nearest neighbours (Å) after each atom.
Sites, in units of the cell vectors:
Y: 0.5000 0.1855 0.6855  6 Ni 2.65-2.85
Y: 0.5000 0.6855 0.8145  6 Ni 2.65-2.85
Y: 0.5000 0.8145 0.3145  6 Ni 2.65-2.85
Y: 0.5000 0.3145 0.1855  6 Ni 2.65-2.85
Ni: 0.0000 0.3778 0.8778  1 Ni 2.31
Ni: 0.0000 0.8778 0.6222  1 Ni 2.31
Ni: 0.0000 0.6222 0.1222  1 Ni 2.31
Ni: 0.0000 0.1222 0.3778  1 Ni 2.31
Ir: 0.0000 0.0000 0.0000  4 Ni 2.65
Ir: 0.0000 0.5000 0.5000  4 Ni 2.65